# CuGeRhSe2

A geometry-optimized CuGeRhSe2 structure (PBE, Alexandria).

Geometry as extended XYZ:
```
5
Lattice="-2.142 0.844 4.160 -1.025 -4.366 0.358 4.104 -0.778 2.271" Properties=species:S:1:pos:R:3 pbc="T T T"
Ge -0.513 -2.183 0.179
Rh 0.468 -2.150 3.394
Cu 0.000 0.000 0.000
Se 2.052 -0.389 1.136
Se -1.071 0.422 2.080
```

E_form (uncorrected) in meV per atom: 694

# CeNd2Y6

A geometry-optimized CeNd2Y6 structure (PBE, Alexandria).

Geometry as extended XYZ:
```
18
Lattice="6.078 -0.010 -0.010 1.144 10.016 1.490 1.144 1.814 9.963" Properties=species:S:1:pos:R:3 pbc="T T T"
Ce 2.664 2.872 8.864
Ce 5.703 8.947 2.579
Nd 4.101 6.962 8.620
Nd 1.226 2.983 4.768
Nd 4.265 4.857 2.822
Nd 7.140 8.836 6.674
Y 4.155 7.618 5.251
Y 1.173 6.330 4.003
Y 4.212 4.201 6.192
Y 7.194 5.490 7.439
Y 4.386 1.458 3.596
Y 7.020 8.173 10.097
Y 3.981 10.361 7.846
Y 1.347 3.647 1.346
Y 2.750 7.755 1.237
Y 2.577 10.337 3.736
Y 5.616 4.064 10.206
Y 5.789 1.482 7.706
```

Electronic total energy in eV per atom: -5.9006

# LuPaRuPt

A geometry-optimized LuPaRuPt structure (PBE, Alexandria).

Geometry as extended XYZ:
```
4
Lattice="4.863 0.000 0.000 2.432 4.212 0.000 2.432 1.404 3.971" Properties=species:S:1:pos:R:3 pbc="T T T"
Ru 2.432 1.404 0.993
Pa 0.000 0.000 0.000
Lu 4.863 2.808 1.985
Pt 7.295 4.212 2.978
```

Electronic total energy in eV per atom: -8.0295

# La3CoSn

A geometry-optimized La3CoSn structure (PBE, Alexandria).

Geometry as extended XYZ:
```
10
Lattice="3.398 -6.636 0.000 3.398 6.636 0.000 0.000 0.000 6.382" Properties=species:S:1:pos:R:3 pbc="T T T"
Co 3.398 4.299 1.596
Co 3.398 -4.299 4.787
Sn 3.398 -0.698 1.596
Sn 3.398 0.698 4.787
La 1.705 2.583 1.596
La 5.090 2.583 1.596
La 1.705 -2.583 4.787
La 5.090 -2.583 4.787
La 0.000 0.000 0.000
La 0.000 0.000 3.191
```

Electronic total energy in eV per atom: -5.2989

# Li3LaZr

A geometry-optimized Li3LaZr structure (PBE, Alexandria).

Geometry as extended XYZ:
```
5
Lattice="-3.184 3.683 0.724 -2.618 -1.498 -3.890 -2.690 -2.902 2.928" Properties=species:S:1:pos:R:3 pbc="T T T"
Li -1.309 -0.749 -1.945
Li -1.345 -1.451 1.464
Li -1.592 1.842 0.362
Zr -4.246 -0.358 -0.119
La 0.000 0.000 0.000
```

Electronic total energy in eV per atom: -2.6238

# Pr4Dy10Th

A geometry-optimized Pr4Dy10Th structure (PBE, Alexandria).

Geometry as extended XYZ:
```
15
Lattice="-3.563 -4.254 9.091 -7.685 -3.846 1.427 0.931 -8.209 2.763" Properties=species:S:1:pos:R:3 pbc="T T T"
Pr -6.236 -9.187 5.735
Pr -5.697 -11.503 11.101
Pr -4.620 -4.805 2.180
Pr -4.081 -7.122 7.545
Dy -4.268 -7.091 4.367
Dy -3.582 -11.019 7.923
Dy -0.871 -3.569 2.222
Dy -8.301 -11.372 8.136
Dy -7.880 -6.656 8.280
Dy -6.735 -5.289 5.357
Dy -6.049 -9.218 8.913
Dy -2.437 -9.652 5.001
Dy -2.016 -4.936 5.144
Dy -9.446 -12.739 11.058
Th 0.000 0.000 0.000
```

Electronic total energy in eV per atom: -4.4544

# CeNd4

A geometry-optimized CeNd4 structure (PBE, Alexandria).

Geometry as extended XYZ:
```
5
Lattice="3.419 0.000 1.276 1.709 6.822 0.638 -0.677 0.000 7.029" Properties=species:S:1:pos:R:3 pbc="T T T"
Ce 0.000 0.000 0.000
Nd 0.795 1.355 3.088
Nd 2.945 4.207 2.546
Nd 3.657 5.467 5.856
Nd 1.507 2.615 6.398
```

Electronic total energy in eV per atom: -4.8562

# Ac4HgRu2

A geometry-optimized Ac4HgRu2 structure (PBE, Alexandria).

Geometry as extended XYZ:
```
14
Lattice="-3.373 -1.950 1.894 5.962 -1.338 4.287 -2.774 12.267 7.688" Properties=species:S:1:pos:R:3 pbc="T T T"
Ac 0.295 -0.879 4.575
Ac -0.490 2.593 6.751
Ac -0.480 9.858 9.293
Ac 0.305 6.386 7.117
Ac -0.142 6.265 11.150
Ac -0.043 2.715 2.718
Ac -1.687 -0.975 0.947
Ac -3.074 5.159 4.791
Hg -2.831 7.719 7.859
Hg 2.646 1.261 6.009
Ru -0.129 4.736 4.645
Ru -1.074 8.743 12.043
Ru 0.888 0.237 1.826
Ru -0.056 4.243 9.223
```

Electronic total energy in eV per atom: -5.2832

# CdF

A geometry-optimized CdF structure (PBE, Alexandria).

Geometry as extended XYZ:
```
12
Lattice="3.073 0.000 0.000 0.000 7.924 0.000 0.000 0.000 9.524" Properties=species:S:1:pos:R:3 pbc="T T T"
Cd 0.000 2.197 7.402
Cd 0.000 5.727 7.402
Cd 0.000 6.159 2.640
Cd 0.000 1.765 2.640
Cd 1.536 0.000 8.669
Cd 1.536 3.962 3.906
F 1.536 5.468 5.689
F 1.536 2.456 5.689
F 1.536 1.506 0.927
F 1.536 6.418 0.927
F 1.536 0.000 3.265
F 1.536 3.962 8.028
```

E_form (uncorrected) in meV per atom: -1509

# Li2TaCl

A geometry-optimized Li2TaCl structure (PBE, Alexandria).

Geometry as extended XYZ:
```
4
Lattice="-0.108 -1.102 2.813 3.019 -0.145 0.059 0.335 8.280 3.257" Properties=species:S:1:pos:R:3 pbc="T T T"
Cl 1.760 6.911 4.399
Li 0.329 8.121 3.195
Li 1.519 0.956 2.057
Ta 0.140 3.464 1.363
```

E_form (uncorrected) in meV per atom: -21

# TbTmTl

A geometry-optimized TbTmTl structure (PBE, Alexandria).

Geometry as extended XYZ:
```
3
Lattice="-2.574 2.208 1.433 -2.768 -4.191 1.487 3.569 2.063 3.232" Properties=species:S:1:pos:R:3 pbc="T T T"
Tl -2.635 -0.408 3.171
Tm -2.256 1.935 1.256
Tb 0.545 0.760 3.158
```

Electronic total energy in eV per atom: -3.9591

# PaTcNiSn

A geometry-optimized PaTcNiSn structure (PBE, Alexandria).

Geometry as extended XYZ:
```
4
Lattice="4.711 0.000 0.000 2.356 4.080 0.000 2.356 1.360 3.847" Properties=species:S:1:pos:R:3 pbc="T T T"
Ni 4.711 2.720 1.923
Pa 7.067 4.080 2.885
Sn 2.356 1.360 0.962
Tc 0.000 0.000 0.000
```

Electronic total energy in eV per atom: -7.5787